Record 1
# PBE Rh2Cl, relaxed
# **Energy above the lowest structure with this stoichiometry**: 566 meV/atom
# **Uncorrected formation energy**: 0.788 eV per atom
data_Rh2Cl
_symmetry_space_group_name_H-M 'P 1'
_symmetry_Int_Tables_number 1
_cell_length_a 5.759
_cell_length_b 5.759
_cell_length_c 5.759
_cell_angle_alpha 90.00
_cell_angle_beta 90.00
_cell_angle_gamma 90.00
loop_
_symmetry_equiv_pos_as_xyz
'x,y,z'
loop_
_atom_site_label
_atom_site_type_symbol
_atom_site_fract_x
_atom_site_fract_y
_atom_site_fract_z
Rh1 Rh 0.644 0.644 0.356
Rh2 Rh 0.356 0.356 0.644
Rh3 Rh 0.144 0.856 0.644
Rh4 Rh 0.856 0.144 0.356
Rh5 Rh 0.356 0.144 0.144
Rh6 Rh 0.644 0.856 0.856
Rh7 Rh 0.856 0.356 0.856
Rh8 Rh 0.144 0.644 0.144
Cl1 Cl 0.000 0.000 0.000
Cl2 Cl 0.500 0.500 0.000
Cl3 Cl 0.500 0.000 0.500
Cl4 Cl 0.000 0.500 0.500

=====

Record 2
# PBE RhCl, relaxed
# **Uncorrected formation energy**: 0.079 eV per atom
data_RhCl
_symmetry_space_group_name_H-M 'P 1'
_symmetry_Int_Tables_number 1
_cell_length_a 8.693
_cell_length_b 8.693
_cell_length_c 8.693
_cell_angle_alpha 21.73
_cell_angle_beta 21.73
_cell_angle_gamma 21.73
loop_
_symmetry_equiv_pos_as_xyz
'x,y,z'
loop_
_atom_site_label
_atom_site_type_symbol
_atom_site_fract_x
_atom_site_fract_y
_atom_site_fract_z
Cl1 Cl 0.975 0.975 0.975
Cl2 Cl 0.775 0.775 0.775
Rh1 Rh 0.507 0.507 0.507
Rh2 Rh 0.243 0.243 0.243